[1]
! PBE TmSc2Pd4, optimized geometry; values from VASP
&SYSTEM
  ibrav = 0, nat = 7, ntyp = 3
/
ATOMIC_SPECIES
Tm 168.93 Tm.upf
Sc 44.96 Sc.upf
Pd 106.42 Pd.upf
CELL_PARAMETERS angstrom
-3.406 3.406 3.017
3.406 -3.406 3.017
3.406 3.406 -3.017
ATOMIC_POSITIONS angstrom
Tm 0.000 0.000 0.000
Sc 3.406 0.000 0.000
Sc 0.000 3.406 0.000
Pd 1.703 1.703 -1.509
Pd 1.703 -1.703 1.509
Pd -1.703 1.703 1.509
Pd 1.703 1.703 1.509
! E	-42.40	eV/cell

=====

[2]
! PBE TmScPd4, optimized geometry; values from VASP
&SYSTEM
  ibrav = 0, nat = 6, ntyp = 3
/
ATOMIC_SPECIES
Tm 168.93 Tm.upf
Sc 44.96 Sc.upf
Pd 106.42 Pd.upf
CELL_PARAMETERS angstrom
3.958 0.000 0.000
0.000 3.958 0.000
0.000 0.000 7.833
ATOMIC_POSITIONS angstrom
Tm 0.000 0.000 0.000
Sc 1.979 1.979 3.916
Pd 0.000 1.979 2.045
Pd 0.000 1.979 5.788
Pd 1.979 0.000 2.045
Pd 1.979 0.000 5.788
! E	-35.20	eV/cell

=====

[3]
! PBE TmScPd3, optimized geometry; values from VASP
&SYSTEM
  ibrav = 0, nat = 20, ntyp = 3
/
ATOMIC_SPECIES
Tm 168.93 Tm.upf
Sc 44.96 Sc.upf
Pd 106.42 Pd.upf
CELL_PARAMETERS angstrom
7.989 0.000 0.000
0.000 7.529 0.000
0.000 0.000 6.584
ATOMIC_POSITIONS angstrom
Tm 0.914 1.882 0.248
Tm 3.081 5.647 3.540
Tm 4.908 1.882 3.044
Tm 7.075 5.647 6.337
Sc 0.000 0.000 3.292
Sc 0.000 3.764 3.292
Sc 3.995 0.000 0.000
Sc 3.995 3.764 0.000
Pd 1.329 5.647 1.375
Pd 1.544 4.286 5.473
Pd 1.544 7.007 5.473
Pd 2.451 0.522 2.181
Pd 2.451 3.243 2.181
Pd 2.665 1.882 4.667
Pd 5.324 5.647 1.917
Pd 5.538 4.286 4.404
Pd 5.538 7.007 4.404
Pd 6.445 0.522 1.111
Pd 6.445 3.243 1.111
Pd 6.660 1.882 5.209
! E	-120.30	eV/cell